(1)
Density functional theory data (PBE) for a relaxed Co2TcAu crystal.

## Properties
* polymorph energy (0 for the lowest one): 91 meV per atom

```
Co2TcAu
1.0
3.718 0.000 0.000
0.000 2.679 -0.001
0.000 2.678 5.473
Au Co Tc
1 2 1
Cartesian
1.859 4.017 4.172 Au
0.000 2.679 0.148 Co
1.859 1.340 1.375 Co
0.000 2.678 2.513 Tc
```

=====

(2)
Density functional theory data (PBE) for a relaxed Co2TcAu2 crystal.

## Properties
* polymorph energy (0 for the lowest one): 0 meV per atom

```
Co2TcAu2
1.0
6.188 0.000 0.000
0.000 6.188 0.000
0.000 0.000 3.882
Co Au Tc
4 4 2
Cartesian
2.303 5.397 0.000 Co
5.397 3.884 0.000 Co
3.884 0.790 0.000 Co
0.790 2.303 0.000 Co
1.081 4.175 1.941 Au
4.175 5.107 1.941 Au
5.107 2.013 1.941 Au
2.013 1.081 1.941 Au
0.000 0.000 0.000 Tc
3.094 3.094 0.000 Tc
```

=====

(3)
Density functional theory data (PBE) for a relaxed Co2TcAu crystal.

## Properties
* polymorph energy (0 for the lowest one): 73 meV per atom

```
Co2TcAu
1.0
-3.369 -8.064 0.997
-0.811 -8.590 1.706
-2.555 -7.635 3.542
Au Co Tc
1 2 1
Cartesian
-5.050 -18.217 4.684 Au
-6.696 -24.154 6.210 Co
-3.404 -12.279 3.157 Co
-1.683 -6.072 1.561 Tc
```

=====

(4)
Density functional theory data (PBE) for a relaxed CoTcAu3 crystal.

## Properties
* polymorph energy (0 for the lowest one): 0 meV per atom

```
CoTcAu3
1.0
4.735 0.000 0.000
0.000 4.735 0.000
0.000 0.000 4.735
Co Au Tc
1 3 1
Cartesian
0.000 0.000 0.000 Co
0.000 2.368 0.000 Au
0.000 0.000 2.368 Au
2.368 0.000 0.000 Au
2.368 2.368 2.368 Tc
```

=====

(5)
Density functional theory data (PBE) for a relaxed Co2TcAu crystal.

## Properties
* polymorph energy (0 for the lowest one): 184 meV per atom

```
Co2TcAu
1.0
-1.474 -4.074 2.943
-3.333 -3.581 -1.871
4.604 2.484 -0.261
Au Co Tc
1 2 1
Cartesian
-0.514 -2.378 -0.810 Au
-4.681 -7.454 1.044 Co
0.305 -2.800 1.622 Co
-2.525 -4.021 0.563 Tc
```

=====

(6)
Density functional theory data (PBE) for a relaxed Co2TcAu crystal.

## Properties
* polymorph energy (0 for the lowest one): 149 meV per atom

```
Co2TcAu
1.0
-3.805 -1.491 -2.383
0.439 -4.412 -1.648
0.663 2.025 4.223
Au Co Tc
1 2 1
Cartesian
-2.412 -1.209 -0.088 Au
0.000 0.000 0.000 Co
-0.290 -2.669 0.280 Co
-1.683 -2.952 -2.016 Tc
```

=====

(7)
Density functional theory data (PBE) for a relaxed Co2TcAu2 crystal.

## Properties
* polymorph energy (0 for the lowest one): 272 meV per atom

```
Co2TcAu2
1.0
3.800 0.000 0.000
0.000 3.800 0.000
1.900 1.900 5.706
Co Au Tc
2 2 1
Cartesian
1.900 1.900 1.036 Co
3.800 3.800 4.670 Co
3.800 1.900 2.853 Au
1.900 3.800 2.853 Au
0.000 0.000 0.000 Tc
```

=====

(8)
Density functional theory data (PBE) for a relaxed CoTcAu4 crystal.

```
CoTcAu4
1.0
3.465 -3.526 2.165
-1.204 -2.457 4.651
-1.182 -5.265 0.043
Co Tc Au
1 1 4
Cartesian
0.270 -2.812 1.715 Co
0.000 0.000 0.000 Tc
1.264 -4.400 4.264 Au
1.275 -5.801 1.963 Au
0.674 -7.028 4.285 Au
-1.056 -5.268 3.205 Au
```

=====

(9)
Density functional theory data (PBE) for a relaxed Co2TcAu crystal.

## Properties
* polymorph energy (0 for the lowest one): 128 meV per atom

```
Co2TcAu
1.0
-7.028 -0.312 -5.328
-8.261 -0.876 -2.978
-7.829 1.704 -3.698
Au Co Tc
1 2 1
Cartesian
-17.259 0.385 -8.963 Au
-22.928 0.511 -11.906 Co
-5.842 0.130 -3.033 Co
-11.764 0.262 -6.109 Tc
```

=====

(10)
Density functional theory data (PBE) for a relaxed Co2TcAu crystal.

## Properties
* polymorph energy (0 for the lowest one): 124 meV per atom

```
Co2TcAu
1.0
-0.602 1.148 -4.323
0.376 -3.798 -2.409
-2.554 0.994 3.586
Au Co Tc
1 2 1
Cartesian
-1.146 -2.064 -1.095 Au
-0.226 -2.644 -6.716 Co
-0.114 -1.331 -3.381 Co
-1.635 0.409 -2.052 Tc
```

=====

(11)
Density functional theory data (PBE) for a relaxed Co2TcAu crystal.

## Properties
* polymorph energy (0 for the lowest one): 177 meV per atom

```
Co2TcAu
1.0
3.774 -0.121 1.924
1.816 3.591 1.330
0.291 0.817 4.148
Co Au Tc
2 1 1
Cartesian
1.470 1.072 1.851 Co
4.411 3.215 5.552 Co
2.941 2.143 3.701 Au
0.000 0.000 0.000 Tc
```

=====

(12)
Density functional theory data (PBE) for a relaxed Co2TcAu crystal.

## Properties
* polymorph energy (0 for the lowest one): 38 meV per atom

```
Co2TcAu
1.0
2.681 0.016 0.000
-0.015 2.681 0.000
0.000 0.000 7.571
Au Co Tc
1 2 1
Cartesian
1.333 1.349 5.775 Au
0.000 0.000 0.236 Co
1.333 1.349 1.795 Co
0.000 0.000 3.549 Tc
```

=====

(13)
Density functional theory data (PBE) for a relaxed Co2TcAu crystal.

## Properties
* polymorph energy (0 for the lowest one): 0 meV per atom

```
Co2TcAu
1.0
2.688 0.000 0.000
0.000 2.688 0.000
0.000 0.000 7.401
Au Co Tc
1 2 1
Cartesian
1.344 1.344 5.551 Au
0.000 0.000 0.157 Co
0.000 0.000 3.543 Co
1.344 1.344 1.850 Tc
```

=====

(14)
Density functional theory data (PBE) for a relaxed Co2TcAu crystal.

## Properties
* polymorph energy (0 for the lowest one): 150 meV per atom

```
Co2TcAu
1.0
4.583 0.004 0.000
-1.309 4.392 0.000
0.000 0.000 2.685
Au Co Tc
1 2 1
Cartesian
-0.654 2.196 1.342 Au
0.000 0.000 0.000 Co
1.637 2.198 0.000 Co
2.292 0.002 1.342 Tc
```

=====

(15)
Density functional theory data (PBE) for a relaxed CoTcAu3 crystal.

## Properties
* polymorph energy (0 for the lowest one): 427 meV per atom

```
CoTcAu3
1.0
4.992 0.000 0.000
0.000 4.992 0.000
0.000 0.000 4.992
Co Au Tc
1 3 1
Cartesian
2.496 2.496 2.496 Co
0.000 2.496 0.000 Au
0.000 0.000 2.496 Au
2.496 0.000 0.000 Au
0.000 0.000 0.000 Tc
```

=====

(16)
Density functional theory data (PBE) for a relaxed Co2TcAu crystal.

## Properties
* polymorph energy (0 for the lowest one): 99 meV per atom

```
Co2TcAu
1.0
4.481 0.005 -0.006
3.678 2.560 -0.006
0.736 0.231 4.804
Au Co Tc
1 2 1
Cartesian
2.224 0.699 1.198 Au
0.746 0.235 4.610 Co
4.437 1.395 2.590 Co
6.671 2.097 3.593 Tc
```

=====

(17)
Density functional theory data (PBE) for a relaxed Co2TcAu crystal.

## Properties
* polymorph energy (0 for the lowest one): 30 meV per atom

```
Co2TcAu
1.0
3.560 0.000 0.000
0.000 2.646 0.540
0.000 1.526 5.997
Au Co Tc
1 2 1
Cartesian
1.780 3.130 4.903 Au
0.000 2.611 0.710 Co
0.000 2.122 3.099 Co
1.780 1.043 1.634 Tc
```

=====

(18)
Density functional theory data (PBE) for a relaxed Co2TcAu crystal.

## Properties
* polymorph energy (0 for the lowest one): 157 meV per atom

```
Co2TcAu
1.0
3.523 0.000 0.000
0.000 3.930 0.000
0.000 0.000 3.930
Au Co Tc
1 2 1
Cartesian
1.761 0.000 1.965 Au
0.000 0.000 0.000 Co
0.000 1.965 1.965 Co
1.761 1.965 0.000 Tc
```

=====

(19)
Density functional theory data (PBE) for a relaxed Co2TcAu crystal.

## Properties
* polymorph energy (0 for the lowest one): 106 meV per atom

```
Co2TcAu
1.0
-2.238 -3.356 -2.350
0.357 -3.576 -2.979
0.400 -3.567 2.899
Au Co Tc
1 2 1
Cartesian
-0.386 -2.594 -0.681 Au
0.370 -3.620 2.794 Co
-1.100 -7.787 -1.808 Co
-0.707 -5.315 -1.051 Tc
```

=====

(20)
Density functional theory data (PBE) for a relaxed Co2TcAu crystal.

## Properties
* polymorph energy (0 for the lowest one): 494 meV per atom

```
Co2TcAu
1.0
-1.697 -0.947 6.308
5.473 -3.569 0.936
3.228 -0.021 4.318
Co Au Tc
4 2 2
Cartesian
0.490 -1.010 4.918 Co
3.956 -2.387 2.674 Co
4.028 -1.834 5.988 Co
5.533 -3.842 9.544 Co
0.000 0.000 0.000 Au
1.710 -1.613 7.124 Au
1.888 -2.258 3.622 Tc
5.294 -2.924 4.438 Tc
```

=====

no.,total energy (eV per atom),total magnetic moment (μB per formula unit),ΔE_f (meV/atom)
1,-6.69,2.589,273
2,-5.77,2.976,453
3,-6.71,2.142,255
4,-4.23,5.787,1231
5,-6.60,2.784,365
6,-6.63,0.215,330
7,-5.50,6.920,725
8,-4.36,5.455,735
9,-6.65,2.905,309
10,-6.66,0.000,306
11,-6.61,2.398,358
12,-6.74,3.113,220
13,-6.78,0.005,181
14,-6.63,2.851,332
15,-3.80,4.056,1658
16,-6.68,2.333,280
17,-6.75,0.928,212
18,-6.62,4.200,339
19,-6.68,2.671,288
20,-6.29,0.580,675